(1)
Density functional theory data (PBE) for a relaxed CrCuTc2 crystal.

Computed properties:
Energy relative to the elements (eV/f.u.): 0.948
Total moment (μB per cell): 0.00
Relative energy among the computed polymorphs (kJ/mol of atoms): 4.0
Density (g/cm³): 9.76

Cell: 3.8179 3.8179 7.2725 Å, 90.00 90.00 90.00°
Space group I4/mmm (No. 139)
Symmetry-distinct sites (fractional):
1 Cr 0.0000 0.0000 0.0000 (multiplicity 2)
2 Cu 0.0000 0.0000 0.5000 (multiplicity 2)
3 Tc 0.0000 0.5000 0.2500 (multiplicity 4)


(2)
Density functional theory data (PBE) for a relaxed HfBe2Fe2 crystal.

Computed properties:
Energy relative to the elements (eV/f.u.): -0.185
Total moment (μB per cell): 0.00
Relative energy among the computed polymorphs (kJ/mol of atoms): 7.5
Density (g/cm³): 8.64

Cell: 3.7140 3.7140 8.5932 Å, 90.00 90.00 90.00°
Space group I4/mmm (No. 139)
Symmetry-distinct sites (fractional):
1 Hf 0.0000 0.0000 0.0000 (multiplicity 2)
2 Be 0.0000 0.5000 0.2500 (multiplicity 4)
3 Fe 0.0000 0.0000 0.3772 (multiplicity 4)


(3)
Density functional theory data (PBE) for a relaxed Y2SiP crystal.

Computed properties:
Total moment (μB per cell): 0.00
Relative energy among the computed polymorphs (kJ/mol of atoms): 0.0
Density (g/cm³): 4.37

Cell: 4.1525 22.2386 3.9016 Å, 90.00 90.00 90.00°
Space group Cmcm (No. 63)
Symmetry-distinct sites (fractional):
1 Y 0.0000 0.0667 0.2500 (multiplicity 4)
2 Y 0.0000 0.3129 0.2500 (multiplicity 4)
3 Si 0.0000 0.4637 0.2500 (multiplicity 4)
4 P 0.0000 0.1881 0.2500 (multiplicity 4)


(4)
Density functional theory data (PBE) for a relaxed TmMgScV crystal.

Computed properties:
Energy relative to the elements (eV/f.u.): 0.589
Total moment (μB per cell): 13.41
Density (g/cm³): 5.34

Cell: 7.1104 7.1104 7.1104 Å, 90.00 90.00 90.00°
Space group F-43m (No. 216)
Symmetry-distinct sites (fractional):
1 Tm 0.0000 0.0000 0.0000 (multiplicity 4)
2 Mg 0.2500 0.2500 0.7500 (multiplicity 4)
3 Sc 0.0000 0.0000 0.5000 (multiplicity 4)
4 V 0.2500 0.2500 0.2500 (multiplicity 4)


(5)
Density functional theory data (PBE) for a relaxed LiPb2 crystal.

Computed properties:
Energy relative to the elements (eV/f.u.): -0.511
Total moment (μB per cell): 0.00
Relative energy among the computed polymorphs (kJ/mol of atoms): 0.0
Density (g/cm³): 9.16

Cell: 13.4684 13.4684 13.4684 Å, 90.00 90.00 90.00°
Space group Fd-3m (No. 227, origin choice 2)
Symmetry-distinct sites (fractional):
1 Li 0.0444 0.0444 0.2056 (multiplicity 32)
2 Pb 0.0000 0.0000 0.0000 (multiplicity 16)
3 Pb 0.0636 0.3750 0.8750 (multiplicity 48)


(6)
Density functional theory data (PBE) for a relaxed CsInSn2 crystal.

Computed properties:
Energy relative to the elements (eV/f.u.): -0.124
Total moment (μB per cell): 0.00
Density (g/cm³): 4.98

Cell: 4.8718 4.8718 23.6308 Å, 90.00 90.00 120.00°
Space group R3m (No. 160, hexagonal axes)
Symmetry-distinct sites (fractional):
1 Cs 0.0000 0.0000 0.0000 (multiplicity 3)
2 In 0.0000 0.0000 0.1795 (multiplicity 3)
3 Sn 0.0000 0.0000 0.5552 (multiplicity 3)
4 Sn 0.0000 0.0000 0.7948 (multiplicity 3)


(7)
Density functional theory data (PBE) for a relaxed BSbAuI2 crystal.

Computed properties:
Total moment (μB per cell): 0.97
Relative energy among the computed polymorphs (kJ/mol of atoms): 35.7
Density (g/cm³): 5.49

Cell: 5.7396 5.7396 5.3526 Å, 90.00 90.00 90.00°
Space group P4/mmm (No. 123)
Symmetry-distinct sites (fractional):
1 B 0.0000 0.0000 0.0000 (multiplicity 1)
2 Sb 0.5000 0.5000 0.0000 (multiplicity 1)
3 Au 0.5000 0.5000 0.5000 (multiplicity 1)
4 I 0.0000 0.5000 0.5000 (multiplicity 2)


(8)
Density functional theory data (PBE) for a relaxed Pr4Sm2DyMg crystal.

Computed properties:
Energy relative to the elements (eV/f.u.): 0.032
Total moment (μB per cell): 0.00
Density (g/cm³): 6.56

Cell: 5.1173 5.1173 10.1675 Å, 90.00 90.00 90.00°
Space group P4/mmm (No. 123)
Symmetry-distinct sites (fractional):
1 Pr 0.0000 0.5000 0.2467 (multiplicity 4)
2 Sm 0.0000 0.0000 0.0000 (multiplicity 1)
3 Sm 0.5000 0.5000 0.5000 (multiplicity 1)
4 Dy 0.0000 0.0000 0.5000 (multiplicity 1)
5 Mg 0.5000 0.5000 0.0000 (multiplicity 1)


(9)
Density functional theory data (PBE) for a relaxed LaThGa2 crystal.

Computed properties:
Energy relative to the elements (eV/f.u.): -1.821
Total moment (μB per cell): 0.00
Relative energy among the computed polymorphs (kJ/mol of atoms): 8.0
Density (g/cm³): 8.16

Cell: 7.4612 7.4612 7.4612 Å, 90.00 90.00 90.00°
Space group Fm-3m (No. 225)
Symmetry-distinct sites (fractional):
1 La 0.0000 0.0000 0.0000 (multiplicity 4)
2 Th 0.0000 0.0000 0.5000 (multiplicity 4)
3 Ga 0.2500 0.2500 0.2500 (multiplicity 8)


Number 1: calculated total energy -67.0 eV per cell. Number 2: calculated total energy -69.0 eV per cell. Number 3: calculated total energy -114.7 eV per cell. Number 4: calculated total energy -83.7 eV per cell. Number 5: calculated total energy -314.9 eV per cell. Number 6: calculated total energy -35.2 eV per cell. Number 7: calculated total energy -10.7 eV per cell. Number 8: calculated total energy -34.7 eV per cell. Number 9: calculated total energy -80.9 eV per cell.